VASP calculation (GGA-PBEsol) on a relaxed Zn8In crystal.

Output
The energy relative to the elements is 0.06 eV per atom. Its crystal system is tetragonal. Its magnetization is 0.0 μB/f.u. The density of states at the Fermi level comes out at 0.30 states/eV/atom.

a = 8.380 Å, b = 8.380 Å, c = 3.942 Å
α = 90.00°, β = 90.00°, γ = 90.00°
Space group I4/mmm (No. 139)
One atom of each set of equivalent atoms:
Zn1 0.000 0.341 0.000 x8
Zn2 0.176 0.176 0.500 x8
In1 0.000 0.000 0.000 x2